A relaxed Ac4InPtI2 crystal. Source: Alexandria via LeMat-Bulk, functional GGA-PBE.

Cell: 4.456 8.447 8.801 Å, 106.49 90.00 90.00°
Fractional coordinates of all 8 atoms:
Ac: 0.000 0.288 0.811
Ac: 0.000 0.712 0.189
Ac: 0.500 0.264 0.210
Ac: 0.500 0.736 0.790
I: 0.000 0.500 0.500
I: 0.500 0.000 0.500
Pt: 0.500 0.500 0.000
In: 0.000 0.000 0.000

Calculated values
density = 7693 kg/m3
electronic total energy = -4.440 eV/atom
SG = P2/m (10)
raw formation energy = -901 meV per atom

***

A relaxed ZrCu2Re crystal. Source: Alexandria via LeMat-Bulk, functional GGA-PBE.

Cell: 3.894 2.770 6.250 Å, 64.04 90.00 90.00°
Fractional coordinates of all 4 atoms:
Cu: 0.000 0.972 0.029
Cu: 0.000 0.528 0.471
Re: 0.500 0.250 0.250
Zr: 0.500 0.750 0.750

Calculated values
density = 11082 kg/m3
electronic total energy = -7.176 eV/atom
offset from the most stable computed form = 38 meV/atom
formation energy from the elements = 0.5 eV/f.u.
SG = P2/m (10)

***

A relaxed CsSr3Ca crystal. Source: Alexandria via LeMat-Bulk, functional GGA-PBE.

Cell: 6.636 6.636 6.636 Å, 90.00 90.00 90.00°
Last column: magnetic moment on the atom in μB.
Fractional coordinates of all 5 atoms:
Cs: 0.000 0.000 0.000  0.20
Sr: 0.000 0.500 0.000  0.14
Sr: 0.500 0.000 0.000  0.09
Sr: 0.000 0.000 0.500  0.22
Ca: 0.500 0.500 0.500  0.04

Calculated values
density = 2476 kg/m3
electronic total energy = -0.836 eV/atom
offset from the most stable computed form = 308 meV/atom
formation energy from the elements = 3.7 eV/f.u.
SG = Pm-3m (221)

***

A relaxed Sc2CdHgPd4 crystal. Source: Alexandria via LeMat-Bulk, functional GGA-PBE.

Cell: 4.642 4.642 8.070 Å, 73.28 73.28 60.00°
Fractional coordinates of all 8 atoms:
Sc: 0.249 0.249 0.253
Sc: 0.751 0.751 0.747
Pd: 0.373 0.373 0.880
Pd: 0.124 0.124 0.629
Pd: 0.627 0.627 0.120
Pd: 0.876 0.876 0.371
Cd: 0.000 0.000 0.000
Hg: 0.500 0.500 0.500

Calculated values
density = 9685 kg/m3
electronic total energy = -5.013 eV/atom
formation energy from the elements = -5.4 eV/f.u.
SG = R-3m (166)

***

A relaxed CuAgSO4 crystal. Source: Alexandria via LeMat-Bulk, functional GGA-PBE.

Cell: 5.764 5.764 5.044 Å, 124.84 124.84 90.00°
Fractional coordinates of all 7 atoms:
Cu: 0.500 0.500 0.000
S: 0.250 0.750 0.500
O: 0.267 0.067 0.786
O: 0.933 0.481 0.214
O: 0.281 0.733 0.214
O: 0.519 0.719 0.786
Ag: 0.000 0.000 0.000

Calculated values
density = 4498 kg/m3
electronic total energy = -5.241 eV/atom
SG = I-4 (82)
raw formation energy = -825 meV per atom

***

A relaxed ScNbCu2B crystal. Source: Alexandria via LeMat-Bulk, functional GGA-PBE.

Cell: 4.500 4.906 4.500 Å, 90.00 90.00 90.00°
Fractional coordinates of all 5 atoms:
Nb: 0.000 0.500 0.000
Sc: 0.000 0.000 0.000
B: 0.500 0.500 0.500
Cu: 0.500 0.000 0.000
Cu: 0.000 0.000 0.500

Calculated values
density = 4609 kg/m3
electronic total energy = -4.143 eV/atom
formation energy from the elements = 10.6 eV/f.u.
SG = P4/mmm (123)

***

A relaxed Tb2PmNd2Tm2 crystal. Source: Alexandria via LeMat-Bulk, functional GGA-PBE.

Cell: 3.443 14.924 12.452 Å, 157.27 90.00 96.62°
Fractional coordinates of all 7 atoms:
Nd: 0.772 0.544 0.188
Nd: 0.228 0.456 0.812
Tb: 0.913 0.825 0.035
Tb: 0.087 0.175 0.965
Tm: 0.845 0.691 0.621
Tm: 0.155 0.309 0.379
Pm: 0.000 0.000 0.500

Calculated values
density = 7665 kg/m3
electronic total energy = -4.425 eV/atom
formation energy from the elements = 1.5 eV/f.u.
SG = C2/m (12)

***

A relaxed La6YHoTm2 crystal. Source: Alexandria via LeMat-Bulk, functional GGA-PBE.

Cell: 9.769 9.033 9.033 Å, 118.12 94.25 94.25°
Fractional coordinates of all 20 atoms:
Tm: 0.454 0.802 0.706
Tm: 0.954 0.706 0.802
Tm: 0.046 0.294 0.198
Tm: 0.546 0.198 0.294
La: 0.120 0.705 0.493
La: 0.380 0.507 0.295
La: 0.193 0.560 0.004
La: 0.449 0.239 0.889
La: 0.620 0.493 0.705
La: 0.551 0.761 0.111
La: 0.051 0.111 0.761
La: 0.693 0.004 0.560
La: 0.807 0.440 0.996
La: 0.307 0.996 0.440
La: 0.880 0.295 0.507
La: 0.949 0.889 0.239
Ho: 0.750 0.588 0.412
Ho: 0.250 0.412 0.588
Y: 0.750 0.026 0.974
Y: 0.250 0.974 0.026

Calculated values
density = 6804 kg/m3
electronic total energy = -4.847 eV/atom
formation energy from the elements = 1.1 eV/f.u.
SG = C2/c (15)